A relaxed Ca3Cu4 crystal, computed with GGA-PBE.

Results
- DOS(E_F) (states/eV/cell) = 8.050
- formation enthalpy at 0 K (meV per atom) = -136
- E_tot (eV per atom) = -3.33

Unit cell a=4.211 b=5.688 c=13.472 alpha=90.00 beta=90.00 gamma=111.73
Fractional coordinates of all 14 atoms:
Ca: 0.723 0.445 0.104
Ca: 0.280 0.559 0.896
Ca: 0.723 0.445 0.396
Ca: 0.280 0.560 0.604
Ca: 0.009 0.019 0.250
Ca: 0.993 0.986 0.750
Cu: 0.314 0.627 0.250
Cu: 0.689 0.377 0.750
Cu: 0.436 0.873 0.086
Cu: 0.001 0.003 0.001
Cu: 0.437 0.873 0.415
Cu: 0.566 0.131 0.915
Cu: 0.001 0.002 0.501
Cu: 0.566 0.132 0.586


A relaxed PuMnZnIr crystal, computed with GGA-PBE.

Results
- DOS(E_F) (states/eV/cell) = 4.678
- formation enthalpy at 0 K (meV per atom) = -204
- E_tot (eV per atom) = -8.61

Unit cell a=4.559 b=4.559 c=4.559 alpha=60.00 beta=60.00 gamma=60.00
Fractional coordinates of all 4 atoms:
Zn: 0.000 0.000 0.000
Ir: 0.250 0.250 0.250
Mn: 0.750 0.750 0.750
Pu: 0.500 0.500 0.500


A relaxed ZnNi4Pd crystal, computed with GGA-PBE.

Results
- DOS(E_F) (states/eV/cell) = 6.378
- formation enthalpy at 0 K (meV per atom) = -11
- E_tot (eV per atom) = -4.94

Unit cell a=4.715 b=4.715 c=4.715 alpha=60.00 beta=60.00 gamma=60.00
Fractional coordinates of all 6 atoms:
Ni: 0.625 0.625 0.125
Ni: 0.625 0.125 0.625
Ni: 0.625 0.625 0.625
Ni: 0.125 0.625 0.625
Zn: 0.000 0.000 0.000
Pd: 0.250 0.250 0.250


A relaxed Th2Si4Ir3Os crystal, computed with GGA-PBE.

Results
- uncorrected formation energy (eV per atom) = -1.02
- DOS(E_F) (states/eV/cell) = 5.770
- E_tot (eV per atom) = -8.45

Unit cell a=4.223 b=4.223 c=9.837 alpha=90.00 beta=90.00 gamma=90.00
Fractional coordinates of all 10 atoms:
Th: 0.500 0.000 0.246
Th: 0.000 0.500 0.754
Si: 0.500 0.500 0.000
Si: 0.000 0.000 0.000
Si: 0.500 0.000 0.626
Si: 0.000 0.500 0.374
Ir: 0.000 0.000 0.500
Ir: 0.500 0.000 0.873
Ir: 0.000 0.500 0.127
Os: 0.500 0.500 0.500


A relaxed Pm6Pr3Mg crystal, computed with GGA-PBE.

Results
- DOS(E_F) (states/eV/cell) = 26.774
- formation enthalpy at 0 K (meV per atom) = 109
- E_tot (eV per atom) = -4.33

Unit cell a=5.349 b=10.714 c=12.089 alpha=90.00 beta=90.07 gamma=90.00
Fractional coordinates of all 20 atoms:
Pm: 0.500 0.825 0.920
Pm: 0.500 0.782 0.615
Pm: 0.500 0.572 0.255
Pm: 0.500 0.428 0.745
Pm: 0.500 0.218 0.385
Pm: 0.500 0.175 0.080
Pm: 0.000 0.675 0.420
Pm: 0.000 0.718 0.115
Pm: 0.000 0.928 0.755
Pm: 0.000 0.072 0.245
Pm: 0.000 0.282 0.885
Pm: 0.000 0.325 0.580
Pr: 0.500 0.119 0.717
Pr: 0.500 0.500 0.000
Pr: 0.500 0.881 0.283
Pr: 0.000 0.381 0.217
Pr: 0.000 0.000 0.500
Pr: 0.000 0.619 0.783
Mg: 0.500 0.500 0.500
Mg: 0.000 0.000 0.000


A relaxed NdLuMgMn crystal, computed with GGA-PBE.

Results
- DOS(E_F) (states/eV/cell) = 4.649
- formation enthalpy at 0 K (meV per atom) = 111
- E_tot (eV per atom) = -4.90

Unit cell a=5.209 b=5.209 c=5.209 alpha=60.00 beta=60.00 gamma=60.00
Fractional coordinates of all 4 atoms:
Mg: 0.750 0.750 0.750
Lu: 0.000 0.000 0.000
Nd: 0.500 0.500 0.500
Mn: 0.250 0.250 0.250


A relaxed AcAgBi2 crystal, computed with GGA-PBE.

Results
- DOS(E_F) (states/eV/cell) = 3.180
- formation enthalpy at 0 K (meV per atom) = -244
- E_tot (eV per atom) = -3.92

Unit cell a=5.607 b=5.607 c=5.607 alpha=60.00 beta=60.00 gamma=60.00
Fractional coordinates of all 4 atoms:
Ac: 0.000 0.000 0.000
Bi: 0.250 0.250 0.250
Bi: 0.750 0.750 0.750
Ag: 0.500 0.500 0.500


A relaxed AsCIBr2 crystal, computed with GGA-PBE.

Results
- uncorrected formation energy (eV per atom) = 1.98
- DOS(E_F) (states/eV/cell) = 3.081
- E_tot (eV per atom) = -1.78

Unit cell a=5.915 b=5.915 c=5.675 alpha=90.00 beta=90.00 gamma=90.00
Fractional coordinates of all 5 atoms:
I: 0.000 0.000 0.000
As: 0.000 0.000 0.500
C: 0.500 0.500 0.500
Br: 0.000 0.500 0.000
Br: 0.500 0.000 0.000


A relaxed TbGdPa crystal, computed with GGA-PBE.

Results
- DOS(E_F) (states/eV/cell) = 4.736
- formation enthalpy at 0 K (meV per atom) = 129
- E_tot (eV per atom) = -9.27

Unit cell a=3.431 b=3.431 c=8.572 alpha=90.00 beta=90.00 gamma=120.00
Fractional coordinates of all 3 atoms:
Gd: 0.333 0.667 0.682
Pa: 0.000 0.000 0.000
Tb: 0.667 0.333 0.318


A relaxed LiMg3 crystal, computed with GGA-PBE.

Results
- DOS(E_F) (states/eV/cell) = 1.740
- formation enthalpy at 0 K (meV per atom) = -31
- E_tot (eV per atom) = -1.71

Unit cell a=5.769 b=5.801 c=6.075 alpha=100.08 beta=99.55 gamma=116.38
Fractional coordinates of all 8 atoms:
Li: 0.986 0.731 0.620
Li: 0.014 0.269 0.380
Mg: 0.996 0.236 0.871
Mg: 0.004 0.764 0.129
Mg: 0.481 0.744 0.864
Mg: 0.519 0.256 0.136
Mg: 0.520 0.762 0.375
Mg: 0.480 0.238 0.625


A relaxed MgB4Rh12 crystal, computed with GGA-PBE.

Results
- DOS(E_F) (states/eV/cell) = 27.169
- formation enthalpy at 0 K (meV per atom) = -102
- E_tot (eV per atom) = -6.96

Unit cell a=6.660 b=6.660 c=6.660 alpha=109.47 beta=109.47 gamma=109.47
Fractional coordinates of all 17 atoms:
Mg: 0.000 0.000 0.000
B: 0.000 0.500 0.000
B: 0.500 0.000 0.000
B: 0.500 0.500 0.500
B: 0.000 0.000 0.500
Rh: 0.832 0.317 0.148
Rh: 0.317 0.485 0.168
Rh: 0.852 0.168 0.683
Rh: 0.317 0.148 0.832
Rh: 0.148 0.832 0.317
Rh: 0.683 0.515 0.832
Rh: 0.485 0.168 0.317
Rh: 0.515 0.832 0.683
Rh: 0.683 0.852 0.168
Rh: 0.832 0.683 0.515
Rh: 0.168 0.317 0.485
Rh: 0.168 0.683 0.852


A relaxed EuDy2Er crystal, computed with GGA-PBE.

Results
- DOS(E_F) (states/eV/cell) = 7.312
- formation enthalpy at 0 K (meV per atom) = 166
- E_tot (eV per atom) = -5.84

Unit cell a=5.721 b=5.721 c=5.721 alpha=60.00 beta=60.00 gamma=60.00
Fractional coordinates of all 4 atoms:
Eu: 0.000 0.000 0.000
Dy: 0.250 0.250 0.250
Dy: 0.750 0.750 0.750
Er: 0.500 0.500 0.500


Number 1: total magnetic moment 0.00 μB per formula unit. Number 2: total magnetic moment 1.77 μB per formula unit. Number 3: total magnetic moment 1.13 μB per formula unit. Number 4: total magnetic moment 0.00 μB per formula unit. Number 5: total magnetic moment 0.00 μB per formula unit. Number 6: total magnetic moment 3.14 μB per formula unit. Number 7: total magnetic moment 0.00 μB per formula unit. Number 8: total magnetic moment 3.98 μB per formula unit. Number 9: total magnetic moment 7.22 μB per formula unit. Number 10: total magnetic moment 0.00 μB per formula unit. Number 11: total magnetic moment 0.01 μB per formula unit. Number 12: total magnetic moment 8.24 μB per formula unit.